Here is crystalline Cs2Sr2As at its relaxed geometry from Alexandria via LeMat-Bulk. Energies are from GGA-PBE.

## Properties
Uncorrected energy in eV per atom: -2.19
ρ in g/cm3: 3.019

Cell: 8.5078 8.5078 7.8405 Å, 90.00 90.00 90.00°
Space group P4/mbm (No. 127)
Symmetry-distinct sites (fractional):
Cs: 0.1870 0.3130 0.0000
Sr: 0.1814 0.6814 0.5000
As: 0.0000 0.0000 0.5000

---

Here is crystalline CsSr3As at its relaxed geometry from Alexandria via LeMat-Bulk. Energies are from GGA-PBE.

## Properties
Distance to the lowest polymorph of the same formula in eV per formula unit: 0.00
ρ in g/cm3: 3.090

Cell: 6.3243 6.3243 6.3243 Å, 90.00 90.00 90.00°
Space group Pm-3m (No. 221)
Symmetry-distinct sites (fractional):
Cs: 0.0000 0.0000 0.0000
Sr: 0.0000 0.5000 0.5000
As: 0.5000 0.5000 0.5000

---

Here is crystalline CsSr3As at its relaxed geometry from Alexandria via LeMat-Bulk. Energies are from GGA-PBE.

## Properties
Distance to the lowest polymorph of the same formula in eV per formula unit: 7.13
ρ in g/cm3: 3.537

Cell: 6.0460 6.0460 6.0460 Å, 90.00 90.00 90.00°
Space group Pm-3m (No. 221)
Symmetry-distinct sites (fractional):
Cs: 0.0000 0.0000 0.0000
Sr: 0.0000 0.0000 0.5000
As: 0.5000 0.5000 0.5000

---

- What is the ρ in the second record?
  3.090 g/cm3